Entry 1:
Entry from Alexandria via LeMat-Bulk: an optimized crystal structure of Ho4SiSbTe2 (PBE).

Cell: 4.277 7.457 7.490 Å, 109.16 90.00 90.00°
Sites, in units of the cell vectors:
Ho 0.500 0.259 0.229
Ho 0.000 0.272 0.777
Ho 0.000 0.728 0.223
Ho 0.500 0.741 0.771
Sb 0.000 0.000 0.000
Te 0.500 0.000 0.500
Te 0.000 0.500 0.500
Si 0.500 0.500 0.000

Results
D(E_F)	0.2060	states/eV per atom
formation energy without anion corrections	-9.4	eV per formula unit
final energy	-5.44	eV/atom
volume	225.6	Å³/cell

***

Entry 2:
Entry from Alexandria via LeMat-Bulk: an optimized crystal structure of NaLa2Be2 (PBE).

Cell: 8.479 8.479 3.484 Å, 90.00 90.00 90.00°
Sites, in units of the cell vectors:
Be 0.402 0.902 0.000
Be 0.098 0.402 0.000
Be 0.902 0.598 0.000
Be 0.598 0.098 0.000
La 0.820 0.320 0.500
La 0.320 0.180 0.500
La 0.680 0.820 0.500
La 0.180 0.680 0.500
Na 0.000 0.000 0.000
Na 0.500 0.500 0.000

Results
D(E_F)	1.2177	states/eV per atom
DFT formation energy	0.312	eV/atom
final energy	-3.41	eV/atom
volume	250.4	Å³/cell

***

Entry 3:
Entry from Alexandria via LeMat-Bulk: an optimized crystal structure of Ho4SiBr5 (PBE).

Cell: 4.019 8.346 9.260 Å, 102.49 102.53 90.00°
Sites, in units of the cell vectors:
Ho 0.650 0.079 0.300
Ho 0.999 0.779 0.999
Ho 0.350 0.921 0.700
Ho 0.001 0.221 0.001
Br 0.173 0.839 0.345
Br 0.167 0.330 0.334
Br 0.500 0.500 0.000
Br 0.833 0.670 0.666
Br 0.827 0.161 0.655
Si 0.500 0.000 0.000

Results
D(E_F)	0.3318	states/eV per atom
formation energy without anion corrections	-14.3	eV per formula unit
final energy	-4.64	eV/atom
volume	295.7	Å³/cell

***

Entry 4:
Entry from Alexandria via LeMat-Bulk: an optimized crystal structure of Cd3RuO (PBE).

Cell: 5.217 5.217 5.217 Å, 90.00 90.00 90.00°
Each line ends with the local moment (μB).
Sites, in units of the cell vectors:
Ru 0.000 0.000 0.000  1.10
Cd 0.000 0.500 0.000  0.02
Cd 0.500 0.000 0.000  0.04
Cd 0.000 0.000 0.500  0.00
O 0.500 0.500 0.500  1.12

Results
D(E_F)	1.8409	states/eV per atom
relative energy among the computed polymorphs	0.723	eV per atom
formation energy without anion corrections	4.9	eV per formula unit
final energy	-2.41	eV/atom
volume	142.0	Å³/cell

***

Entry 5:
Entry from Alexandria via LeMat-Bulk: an optimized crystal structure of CsLiB2 (PBE).

Cell: 3.696 3.696 9.993 Å, 79.34 79.34 90.00°
Sites, in units of the cell vectors:
B 0.375 0.625 0.750
B 0.875 0.625 0.750
B 0.375 0.125 0.250
B 0.375 0.625 0.250
Li 0.500 0.500 0.000
Li 0.250 0.750 0.500
Cs 0.000 0.000 0.000
Cs 0.750 0.250 0.500

Results
D(E_F)	0.3057	states/eV per atom
DFT formation energy	1.144	eV/atom
relative energy among the computed polymorphs	0.000	eV per atom
final energy	-2.89	eV/atom
volume	131.7	Å³/cell

***

Entry 6:
Entry from Alexandria via LeMat-Bulk: an optimized crystal structure of NiRuSe2 (PBE).

Cell: 3.087 3.087 6.279 Å, 90.00 90.00 90.00°
Sites, in units of the cell vectors:
Ru 0.500 0.500 0.750
Ni 0.500 0.500 0.250
Se 0.000 0.000 0.496
Se 0.000 0.000 0.004

Results
D(E_F)	0.8000	states/eV per atom
relative energy among the computed polymorphs	0.368	eV per atom
formation energy without anion corrections	0.7	eV per formula unit
final energy	-5.33	eV/atom
volume	59.8	Å³/cell

***

Entry 7:
Entry from Alexandria via LeMat-Bulk: an optimized crystal structure of TbReTe (PBE).

Cell: 3.551 3.551 12.425 Å, 90.00 90.00 90.00°
Sites, in units of the cell vectors:
Te 0.500 0.000 0.760
Te 0.000 0.500 0.240
Re 0.500 0.000 0.973
Re 0.000 0.500 0.027
Tb 0.000 0.500 0.613
Tb 0.500 0.000 0.387

Results
D(E_F)	0.8866	states/eV per atom
formation energy without anion corrections	0.4	eV per formula unit
final energy	-6.62	eV/atom
volume	156.7	Å³/cell

***

Entry 8:
Entry from Alexandria via LeMat-Bulk: an optimized crystal structure of HfSnI6 (PBE).

Cell: 7.489 7.497 7.882 Å, 61.60 81.64 72.19°
Sites, in units of the cell vectors:
I 0.728 0.126 0.295
I 0.272 0.874 0.705
I 0.728 0.421 0.705
I 0.272 0.579 0.295
I 0.266 0.264 0.000
I 0.734 0.736 0.000
Hf 0.500 0.500 0.000
Sn 0.000 0.000 0.000

Results
D(E_F)	0.0000	states/eV per atom
formation energy without anion corrections	-5.7	eV per formula unit
final energy	-3.62	eV/atom
volume	370.6	Å³/cell

***

Entry 9:
Entry from Alexandria via LeMat-Bulk: an optimized crystal structure of CaHgIr (PBE).

Cell: 4.697 4.697 4.697 Å, 60.00 60.00 60.00°
Sites, in units of the cell vectors:
Ca 0.000 0.000 0.000
Ir 0.750 0.750 0.750
Hg 0.500 0.500 0.500

Results
D(E_F)	1.0049	states/eV per atom
DFT formation energy	0.016	eV/atom
final energy	-3.71	eV/atom
volume	73.3	Å³/cell

***

Entry 10:
Entry from Alexandria via LeMat-Bulk: an optimized crystal structure of Nd2PaIrO8 (PBE).

Cell: 5.160 5.167 6.934 Å, 89.99 90.00 91.35°
Each line ends with the local moment (μB).
Sites, in units of the cell vectors:
O 0.736 0.735 0.000  0.25
O 0.296 0.296 0.500  0.01
O 0.176 0.824 0.235  0.02
O 0.177 0.825 0.765  0.02
O 0.704 0.704 0.500  0.01
O 0.264 0.265 0.000  0.25
O 0.824 0.176 0.765  0.02
O 0.823 0.175 0.235  0.02
Nd 0.500 0.500 0.758  0.02
Nd 0.500 0.500 0.242  0.02
Pa 0.000 0.000 0.500  0.02
Ir 0.000 0.000 0.000  1.11

Results
D(E_F)	0.1499	states/eV per atom
formation energy without anion corrections	-30.9	eV per formula unit
final energy	-8.20	eV/atom
volume	184.8	Å³/cell

***

Entry 11:
Entry from Alexandria via LeMat-Bulk: an optimized crystal structure of Tl3BiSe (PBE).

Cell: 5.996 5.996 5.996 Å, 90.00 90.00 90.00°
Sites, in units of the cell vectors:
Tl 0.500 0.000 0.000
Tl 0.000 0.000 0.500
Tl 0.000 0.500 0.000
Se 0.500 0.500 0.500
Bi 0.000 0.000 0.000

Results
D(E_F)	0.4358	states/eV per atom
relative energy among the computed polymorphs	0.119	eV per atom
formation energy without anion corrections	1.7	eV per formula unit
final energy	-2.55	eV/atom
volume	215.6	Å³/cell

***

Entry 12:
Entry from Alexandria via LeMat-Bulk: an optimized crystal structure of HfScAg (PBE).

Cell: 4.296 4.296 7.042 Å, 90.00 90.00 90.00°
Sites, in units of the cell vectors:
Ag 0.000 0.500 0.766
Ag 0.500 0.000 0.234
Hf 0.500 0.000 0.861
Hf 0.000 0.500 0.139
Sc 0.000 0.000 0.500
Sc 0.500 0.500 0.500

Results
D(E_F)	0.7442	states/eV per atom
DFT formation energy	0.139	eV/atom
relative energy among the computed polymorphs	0.280	eV per atom
final energy	-6.24	eV/atom
volume	129.9	Å³/cell

***

Entry 13:
Entry from Alexandria via LeMat-Bulk: an optimized crystal structure of Cs3Ce2ThTe6 (PBE).

Cell: 8.094 8.094 9.382 Å, 98.27 98.27 120.00°
Each line ends with the local moment (μB).
Sites, in units of the cell vectors:
Te 0.065 0.392 0.196  -0.01
Te 0.608 0.935 0.804  -0.01
Te 0.739 0.739 0.196  -0.01
Te 0.935 0.608 0.804  -0.01
Te 0.392 0.065 0.196  -0.01
Te 0.261 0.261 0.804  -0.01
Cs 0.168 0.832 0.500  0.00
Cs 0.500 0.500 0.500  0.00
Cs 0.832 0.168 0.500  0.00
Ce 0.333 0.667 0.000  1.12
Ce 0.667 0.333 0.000  1.12
Th 0.000 0.000 0.000  0.12

Results
D(E_F)	1.6670	states/eV per atom
formation energy without anion corrections	-15.5	eV per formula unit
final energy	-4.68	eV/atom
volume	509.8	Å³/cell

***

Entry 14:
Entry from Alexandria via LeMat-Bulk: an optimized crystal structure of HPbF3 (PBE).

Cell: 4.498 4.498 4.498 Å, 90.00 90.00 90.00°
Each line ends with the local moment (μB).
Sites, in units of the cell vectors:
Pb 0.000 0.000 0.000  -0.01
F 0.000 0.500 0.000  0.01
F 0.500 0.000 0.000  0.00
F 0.000 0.000 0.500  0.01
H 0.500 0.500 0.500  0.38

Results
D(E_F)	0.1926	states/eV per atom
relative energy among the computed polymorphs	0.875	eV per atom
final energy	-3.75	eV/atom
volume	91.0	Å³/cell

***

Entry 15:
Entry from Alexandria via LeMat-Bulk: an optimized crystal structure of CdHg2Au (PBE).

Cell: 11.830 11.830 11.830 Å, 14.54 14.54 14.54°
Sites, in units of the cell vectors:
Au 0.250 0.250 0.250
Hg 0.507 0.507 0.507
Hg 0.993 0.993 0.993
Cd 0.750 0.750 0.750

Results
D(E_F)	0.2088	states/eV per atom
DFT formation energy	0.054	eV/atom
relative energy among the computed polymorphs	0.061	eV per atom
final energy	-1.14	eV/atom
volume	90.9	Å³/cell

***

Entry 16:
Entry from Alexandria via LeMat-Bulk: an optimized crystal structure of V2SbIrRu (PBE).

Cell: 4.709 4.711 4.709 Å, 90.00 90.00 90.00°
Sites, in units of the cell vectors:
V 0.500 0.000 0.000
V 0.000 0.000 0.500
Ir 0.000 0.500 0.000
Sb 0.000 0.000 0.000
Ru 0.500 0.500 0.500

Results
D(E_F)	1.4572	states/eV per atom
formation energy without anion corrections	9.6	eV per formula unit
final energy	-6.19	eV/atom
volume	104.5	Å³/cell

***

Entry 17:
Entry from Alexandria via LeMat-Bulk: an optimized crystal structure of BaCa2MgCl8 (PBE).

Cell: 6.533 6.406 8.541 Å, 90.00 90.00 88.58°
Sites, in units of the cell vectors:
Cl 0.825 0.216 0.791
Cl 0.825 0.216 0.209
Cl 0.645 0.705 0.500
Cl 0.175 0.784 0.209
Cl 0.691 0.727 0.000
Cl 0.175 0.784 0.791
Cl 0.355 0.295 0.500
Cl 0.309 0.273 0.000
Mg 0.000 0.000 0.000
Ba 0.000 0.000 0.500
Ca 0.500 0.500 0.767
Ca 0.500 0.500 0.233

Results
D(E_F)	0.0000	states/eV per atom
formation energy without anion corrections	-27.0	eV per formula unit
final energy	-4.10	eV/atom
volume	357.3	Å³/cell

***

Entry 18:
Entry from Alexandria via LeMat-Bulk: an optimized crystal structure of SrDy2Si6 (PBE).

Cell: 4.084 7.155 7.155 Å, 120.00 90.00 90.00°
Sites, in units of the cell vectors:
Si 0.500 0.661 0.000
Si 0.500 0.661 0.661
Si 0.500 0.000 0.339
Si 0.500 0.000 0.661
Si 0.500 0.339 0.339
Si 0.500 0.339 0.000
Sr 0.000 0.000 0.000
Dy 0.000 0.333 0.667
Dy 0.000 0.667 0.333

Results
D(E_F)	0.6187	states/eV per atom
formation energy without anion corrections	-3.8	eV per formula unit
final energy	-5.25	eV/atom
volume	181.1	Å³/cell

***

Entry 19:
Entry from Alexandria via LeMat-Bulk: an optimized crystal structure of LaAl2Ni (PBE).

Cell: 4.238 4.238 5.939 Å, 69.06 69.06 60.00°
Sites, in units of the cell vectors:
La 0.497 0.497 0.509
Al 0.026 0.026 0.922
Al 0.296 0.296 0.111
Ni 0.681 0.681 0.957

Results
D(E_F)	0.9331	states/eV per atom
DFT formation energy	-0.492	eV/atom
final energy	-5.04	eV/atom
volume	84.1	Å³/cell

***

Entry 20:
Entry from Alexandria via LeMat-Bulk: an optimized crystal structure of BaIrBr2 (PBE).

Cell: 8.303 8.303 8.303 Å, 30.47 30.47 30.47°
Each line ends with the local moment (μB).
Sites, in units of the cell vectors:
Br 0.202 0.202 0.202  0.05
Br 0.013 0.013 0.013  0.00
Ba 0.762 0.762 0.762  0.00
Ir 0.523 0.523 0.523  0.48

Results
D(E_F)	0.8364	states/eV per atom
relative energy among the computed polymorphs	0.127	eV per atom
formation energy without anion corrections	-2.0	eV per formula unit
final energy	-4.04	eV/atom
volume	130.5	Å³/cell